The following is a GGA-PBE calculation of an optimized crystal structure of K2CrPt, from Alexandria via LeMat-Bulk.

```
data_K2CrPt
_chemical_formula_sum 'K8 Cr4 Pt4'
_space_group_name_H-M_alt 'I -4 2 d'
_space_group_IT_number 122
_space_group_name_Hall 'I -4 2bw'
_cell_length_a 12.036
_cell_length_b 12.036
_cell_length_c 4.908
_cell_angle_alpha 90.00
_cell_angle_beta 90.00
_cell_angle_gamma 90.00
loop_
_atom_site_label
_atom_site_type_symbol
_atom_site_fract_x
_atom_site_fract_y
_atom_site_fract_z
K1 K 0.078 0.250 0.125
Cr1 Cr 0.000 0.000 0.500
Pt1 Pt 0.000 0.000 0.000
```

Properties
Calculated formation energy, eV/f.u.: 1.791
Crystal system: tetragonal


The following is a GGA-PBE calculation of an optimized crystal structure of RbSrTa, from Alexandria via LeMat-Bulk.

```
data_RbSrTa
_chemical_formula_sum 'Rb2 Sr2 Ta2'
_space_group_name_H-M_alt 'P -6 m 2'
_space_group_IT_number 187
_space_group_name_Hall 'P -6 2'
_cell_length_a 6.1249
_cell_length_b 6.1249
_cell_length_c 8.7860
_cell_angle_alpha 90.00
_cell_angle_beta 90.00
_cell_angle_gamma 120.00
loop_
_atom_site_label
_atom_site_type_symbol
_atom_site_fract_x
_atom_site_fract_y
_atom_site_fract_z
Rb1 Rb 0.0000 0.0000 0.0000
Rb2 Rb 0.0000 0.0000 0.5000
Sr1 Sr 0.6667 0.3333 0.2130
Ta1 Ta 0.3333 0.6667 0.1289
```

Properties
Calculated formation energy, eV/f.u.: 3.717
Crystal system: hexagonal


The following is a GGA-PBE calculation of an optimized crystal structure of CoNi5I12, from Alexandria via LeMat-Bulk.

```
data_CoNi5I12
_chemical_formula_sum 'Co2 Ni10 I24'
_space_group_name_H-M_alt 'C 1 2/m 1'
_space_group_IT_number 12
_cell_length_a 6.821
_cell_length_b 11.847
_cell_length_c 14.603
_cell_angle_alpha 90.00
_cell_angle_beta 90.02
_cell_angle_gamma 90.00
loop_
_space_group_symop_operation_xyz
'x,y,z'
'-x,-y,-z'
'-x,y,-z'
'x,-y,z'
'x+1/2,y+1/2,z'
'-x+1/2,-y+1/2,-z'
'-x+1/2,y+1/2,-z'
'x+1/2,-y+1/2,z'
loop_
_atom_site_label
_atom_site_type_symbol
_atom_site_fract_x
_atom_site_fract_y
_atom_site_fract_z
Co1 Co 0.000 0.000 0.000
Ni1 Ni 0.000 0.167 0.500
Ni2 Ni 0.000 0.333 0.000
Ni3 Ni 0.000 0.500 0.500
I1 I 0.165 0.165 0.898
I2 I 0.167 0.000 0.603
I3 I 0.167 0.333 0.603
I4 I 0.174 0.500 0.899
```

Properties
Crystal system: monoclinic
E_form (uncorrected), eV/atom: -0.06


The following is a GGA-PBE calculation of an optimized crystal structure of U2Fe3Ge2, from Alexandria via LeMat-Bulk.

```
data_U2Fe3Ge2
_chemical_formula_sum 'U4 Fe6 Ge4'
_space_group_name_H-M_alt 'C 1 2/m 1'
_space_group_IT_number 12
_cell_length_a 11.556
_cell_length_b 4.213
_cell_length_c 4.733
_cell_angle_alpha 90.00
_cell_angle_beta 94.41
_cell_angle_gamma 90.00
loop_
_space_group_symop_operation_xyz
'x,y,z'
'-x,-y,-z'
'-x,y,-z'
'x,-y,z'
'x+1/2,y+1/2,z'
'-x+1/2,-y+1/2,-z'
'-x+1/2,y+1/2,-z'
'x+1/2,-y+1/2,z'
loop_
_atom_site_label
_atom_site_type_symbol
_atom_site_fract_x
_atom_site_fract_y
_atom_site_fract_z
U1 U 0.142 0.000 0.380
Fe1 Fe 0.000 0.000 0.000
Fe2 Fe 0.213 0.000 0.813
Ge1 Ge 0.101 0.500 0.867
```

Properties
Calculated formation energy, eV/f.u.: -1.808
Crystal system: monoclinic


Number 1: M_tot 1.217 μB/atom, Fermi-level density of states 0.80 states/eV/atom. Number 2: M_tot 0.000 μB/atom, Fermi-level density of states 0.89 states/eV/atom. Number 3: M_tot 0.610 μB/atom, Fermi-level density of states 0.35 states/eV/atom. Number 4: M_tot 0.050 μB/atom, Fermi-level density of states 1.05 states/eV/atom.